Run 1
DFT (PBE) results for a geometry-optimized CoIr6Os2 structure.

```
CoIr6Os2
1.0
3.7683 0.0000 0.0000
-1.8842 3.2635 0.0000
0.0000 0.0000 14.2359
Co Ir Os
1 6 2
direct
0.3333 0.6667 0.0000
0.6667 0.3333 0.4160
0.3333 0.6667 0.1765
0.3333 0.6667 0.3431
0.3333 0.6667 0.6569
0.3333 0.6667 0.8235
0.6667 0.3333 0.5840
0.6667 0.3333 0.9095
0.6667 0.3333 0.0905
```

Computed properties:
The symmetry is P-6m2, No. 187. The value obtained for the density is 15.1 Mg/m³.

=====

Run 2
DFT (PBE) results for a geometry-optimized CoIr6Os2 structure.

```
CoIr6Os2
1.0
-1.7316 -2.0809 0.2854
5.3076 -2.7622 -0.9194
-0.0751 1.1668 8.0530
Co Ir Os
1 6 2
direct
0.0000 0.0000 0.0000
0.3351 0.6703 0.1063
0.6649 0.3297 0.8937
0.6695 0.3391 0.5582
0.0020 0.0039 0.3281
0.9980 0.9961 0.6719
0.3305 0.6609 0.4418
0.6660 0.3320 0.2183
0.3340 0.6680 0.7817
```

Computed properties:
The symmetry is C2/m, No. 12. The value obtained for the density is 20.8 Mg/m³.

=====

run 2 is favored, and the nearest alternative lies 0.882 eV/atom above it.